Version A
A relaxed structure of LaCrCu. Source: Alexandria via LeMat-Bulk, functional PBE.

Unit cell a=4.6885 b=4.6885 c=4.6885 alpha=60.00 beta=60.00 gamma=60.00
Last column: nearest neighbours and their distance in Å.
Atoms (fractional coordinates):
1 Cu 0.2500 0.2500 0.2500  4 Cr 2.87, 4 La 2.87
2 Cr 0.5000 0.5000 0.5000  4 Cu 2.87
3 La 0.0000 0.0000 0.0000  4 Cu 2.87

Total magnetic moment (μB/cell): 3.77
Space group: No. 216

---

Version B
A relaxed structure of LaCrCu. Source: Alexandria via LeMat-Bulk, functional PBE.

Unit cell a=5.7935 b=5.7934 c=3.4619 alpha=72.62 beta=72.61 gamma=34.77
Last column: nearest neighbours and their distance in Å.
Atoms (fractional coordinates):
1 La 0.3305 0.3305 0.6695  5 Cr 3.09-3.27, 5 Cu 3.17-3.21
2 Cu 0.6328 0.6328 0.3672  4 Cr 2.65
3 Cr 0.0367 0.0367 0.9633  4 Cu 2.65

Total magnetic moment (μB/cell): 3.51
Space group: No. 107

---

Version C
A relaxed structure of LaCrCu. Source: Alexandria via LeMat-Bulk, functional PBE.

Unit cell a=4.8374 b=4.8374 c=4.8374 alpha=60.00 beta=60.00 gamma=60.00
Last column: nearest neighbours and their distance in Å.
Atoms (fractional coordinates):
1 Cu 0.5000 0.5000 0.5000  4 La 2.96
2 La 0.7500 0.7500 0.7500  4 Cr 2.96, 4 Cu 2.96
3 Cr 0.0000 0.0000 0.0000  4 La 2.96

Total magnetic moment (μB/cell): 4.14
Space group: No. 216

---

Version D
A relaxed structure of LaCrCu. Source: Alexandria via LeMat-Bulk, functional PBE.

Unit cell a=4.4959 b=4.4959 c=3.8075 alpha=90.00 beta=90.00 gamma=120.00
Last column: nearest neighbours and their distance in Å.
Atoms (fractional coordinates):
1 La 0.3333 0.6667 0.6667  6 Cu 3.22, 6 Cr 3.22
2 Cu 0.6667 0.3333 0.1667  3 Cr 2.60
3 Cr 0.0000 0.0000 0.1666  3 Cu 2.60

Total magnetic moment (μB/cell): 3.72
Space group: No. 187

---

Name the least stable of them. version C.